Record 1
The following is a PBE-GGA calculation of a relaxed structure of Hf5GaB2, from the Alexandria database.

It has space group I4/mcm (No. 140), with a = 6.556 Å, b = 6.556 Å, c = 12.481 Å, α = 90.00°, β = 90.00° and γ = 90.00°. The asymmetric unit holds Hf at (0.000, 0.000, 0.000), Hf at (0.173, 0.327, 0.133), Ga at (0.000, 0.000, 0.250) and B at (0.109, 0.391, 0.500).

The value obtained for the energy of formation is -36.49 kJ per mole of atoms.

=====

Record 2
The following is a PBE-GGA calculation of a relaxed structure of HfGa3B, from the Alexandria database.

It has space group Pm-3m (No. 221), with a = 5.200 Å, b = 5.200 Å, c = 5.200 Å, α = 90.00°, β = 90.00° and γ = 90.00°. The asymmetric unit holds Hf at (0.000, 0.000, 0.000), Ga at (0.000, 0.000, 0.500) and B at (0.500, 0.500, 0.500).

As for the energy above the most stable polymorph in this dataset: 1031 meV per atom. The value obtained for the energy of formation is 143.55 kJ per mole of atoms.

=====

Record 3
The following is a PBE-GGA calculation of a relaxed structure of Hf6Ga2B, from the Alexandria database.

It has space group P4_2/mnm (No. 136), with a = 5.840 Å, b = 5.840 Å, c = 11.635 Å, α = 90.00°, β = 90.00° and γ = 90.00°. The asymmetric unit holds Hf at (0.192, 0.192, 0.141), Hf at (0.216, 0.216, 0.500), Ga at (0.000, 0.000, 0.325) and B at (0.000, 0.000, 0.000).

The value obtained for the energy of formation is 8.78 kJ per mole of atoms.

=====

Record 4
The following is a PBE-GGA calculation of a relaxed structure of HfGa3B, from the Alexandria database.

It has space group Pm-3m (No. 221), with a = 4.356 Å, b = 4.356 Å, c = 4.356 Å, α = 90.00°, β = 90.00° and γ = 90.00°. The asymmetric unit holds Hf at (0.000, 0.000, 0.000), Ga at (0.000, 0.500, 0.500) and B at (0.500, 0.500, 0.500).

As for the energy above the most stable polymorph in this dataset: 0 meV per atom. The value obtained for the energy of formation is 44.03 kJ per mole of atoms.

=====

Record 5
The following is a PBE-GGA calculation of a relaxed structure of HfGa2BI, from the Alexandria database.

It has space group P4/mmm (No. 123), with a = 4.307 Å, b = 4.307 Å, c = 5.292 Å, α = 90.00°, β = 90.00° and γ = 90.00°. The asymmetric unit holds Hf at (0.000, 0.000, 0.000), Ga at (0.000, 0.500, 0.500), B at (0.500, 0.500, 0.500) and I at (0.500, 0.500, 0.000).

The formation energy without anion corrections comes out at 0.789 eV/atom.

=====

Record 6
The following is a PBE-GGA calculation of a relaxed structure of HfInGa2B, from the Alexandria database.

It has space group P4/mmm (No. 123), with a = 4.343 Å, b = 4.343 Å, c = 4.684 Å, α = 90.00°, β = 90.00° and γ = 90.00°. The asymmetric unit holds Hf at (0.000, 0.000, 0.000), In at (0.500, 0.500, 0.000), Ga at (0.000, 0.500, 0.500) and B at (0.000, 0.000, 0.500).

The value obtained for the energy of formation is 12.92 kJ per mole of atoms.

=====

Record 7
The following is a PBE-GGA calculation of a relaxed structure of KHf2GaB, from the Alexandria database.

It has space group P4/mmm (No. 123), with a = 4.935 Å, b = 4.935 Å, c = 5.010 Å, α = 90.00°, β = 90.00° and γ = 90.00°. The asymmetric unit holds K at (0.000, 0.000, 0.000), Hf at (0.000, 0.500, 0.000), Ga at (0.000, 0.000, 0.500) and B at (0.500, 0.500, 0.500).

The value obtained for the energy of formation is 278.69 kJ per mole of atoms.

=====

Record 8
The following is a PBE-GGA calculation of a relaxed structure of HfMg2GaB, from the Alexandria database.

It has space group P4/mmm (No. 123), with a = 5.232 Å, b = 5.232 Å, c = 3.755 Å, α = 90.00°, β = 90.00° and γ = 90.00°. The asymmetric unit holds Hf at (0.000, 0.000, 0.000), Mg at (0.000, 0.500, 0.500), Ga at (0.500, 0.500, 0.500) and B at (0.500, 0.500, 0.000).

The value obtained for the energy of formation is 84.23 kJ per mole of atoms.

=====

Record 9
The following is a PBE-GGA calculation of a relaxed structure of HfGaBMo2, from the Alexandria database.

It has space group P4/mmm (No. 123), with a = 4.544 Å, b = 4.544 Å, c = 4.826 Å, α = 90.00°, β = 90.00° and γ = 90.00°. The asymmetric unit holds Hf at (0.000, 0.000, 0.000), Ga at (0.000, 0.000, 0.500), B at (0.500, 0.500, 0.000) and Mo at (0.000, 0.500, 0.500).

The value obtained for the energy of formation is 186.64 kJ per mole of atoms.

=====

Record 10
The following is a PBE-GGA calculation of a relaxed structure of Na2HfGaB, from the Alexandria database.

It has space group P4/mmm (No. 123), with a = 4.770 Å, b = 4.770 Å, c = 4.632 Å, α = 90.00°, β = 90.00° and γ = 90.00°. The asymmetric unit holds Na at (0.000, 0.500, 0.000), Hf at (0.000, 0.000, 0.500), Ga at (0.500, 0.500, 0.500) and B at (0.000, 0.000, 0.000).

The value obtained for the energy of formation is 58.68 kJ per mole of atoms.

=====

Record 11
The following is a PBE-GGA calculation of a relaxed structure of Hf2GaB2Rh5, from the Alexandria database.

It has space group P4/mbm (No. 127), with a = 9.197 Å, b = 9.197 Å, c = 3.211 Å, α = 90.00°, β = 90.00° and γ = 90.00°. The asymmetric unit holds Hf at (0.175, 0.325, 0.000), Ga at (0.000, 0.000, 0.000), B at (0.124, 0.624, 0.000), Rh at (0.000, 0.500, 0.500) and Rh at (0.071, 0.784, 0.500).

The value obtained for the energy of formation is -81.10 kJ per mole of atoms.

=====

Record 12
The following is a PBE-GGA calculation of a relaxed structure of Hf2GaB2Ru5, from the Alexandria database.

It has space group P4/mbm (No. 127), with a = 9.349 Å, b = 9.349 Å, c = 3.080 Å, α = 90.00°, β = 90.00° and γ = 90.00°. The asymmetric unit holds Hf at (0.175, 0.325, 0.000), Ga at (0.000, 0.000, 0.000), B at (0.125, 0.625, 0.000), Ru at (0.000, 0.500, 0.500) and Ru at (0.071, 0.784, 0.500).

The value obtained for the energy of formation is -64.07 kJ per mole of atoms.

=====

What DOS at the Fermi energy values result from the calculations? In sequence: 1.337; 0.708; 0.617; 0.809; 0.712; 0.299; 1.560; 0.707; 0.929; 0.768; 0.324; 0.699 states/eV/atom.
What theoretical density values result from the calculations? In sequence: 12.18; 4.71; 10.22; 8.01; 7.71; 8.34; 6.49; 4.97; 7.52; 4.81; 11.77; 11.76 g/cm³.